No. 1
Density functional theory data (PBE-GGA) for a relaxed Tb2PmErTm6 crystal.

Cell lengths 8.9642, 14.9050, 9.4606 Å; angles 90.00, 97.47, 90.00 degrees
With the nearest neighbours (Å) after each atom.
Space group C2/c (No. 15)
Symmetry-distinct sites (fractional):
Tb  0.2501  0.0531  0.0454 x8  6 Tm 3.24-3.55, 2 Pm 3.35-3.38, 1 Er 3.50
Pm  0.0000  0.0233  0.7500 x4  4 Tb 3.35-3.38, 4 Tm 3.54-3.66
Er  0.0000  0.4090  0.2500 x4  8 Tm 3.38-3.75, 2 Tb 3.50
Tm  0.0633  0.1892  0.4421 x8  7 Tm 3.36-3.66, 1 Tb 3.48, 1 Pm 3.66, 1 Er 3.75
Tm  0.1009  0.3921  0.6182 x8  4 Tm 3.18-3.45, 3 Tb 3.24-3.39, 2 Er 3.38-3.49
Tm  0.2053  0.2254  0.8161 x8  3 Tm 3.18-3.54, 2 Tb 3.35-3.55, 1 Er 3.44, 1 Pm 3.54

Summary:
As for the total magnetization: 0.000 Bohr magnetons per cell. The calculation puts the uncorrected energy at -176.76 eV for the cell shown. The calculation puts the density of states at the Fermi level at 1.405 states/eV/atom.

=====

No. 2
Density functional theory data (PBE-GGA) for a relaxed Tl2CuSnI5 crystal.

Cell lengths 4.5498, 20.6127, 14.9465 Å; angles 90.00, 90.00, 90.00 degrees
With the nearest neighbours (Å) after each atom.
Space group Cmc2_1 (No. 36)
Symmetry-distinct sites (fractional):
Tl  0.0000  0.1075  0.0000 x4  5 I 3.49-3.86
Tl  0.0000  0.1236  0.6463 x4  6 I 3.47-3.71
Cu  0.0000  0.4393  0.7398 x4  4 I 2.62-2.74
Sn  0.0000  0.1978  0.3377 x4  6 I 3.16-3.24
I  0.0000  0.0405  0.3290 x4  2 Cu 2.67
I  0.0000  0.2944  0.9862 x4  2 Sn 3.18
I  0.0000  0.3125  0.6843 x4  1 Cu 2.74
I  0.0000  0.3507  0.3253 x4  1 Sn 3.16
I  0.0000  0.4964  0.0883 x4  1 Cu 2.62

Summary:
As for the total magnetization: 0.000 Bohr magnetons per cell. The formation energy (no corrections) is -0.49 eV per atom.

=====

No. 3
Density functional theory data (PBE-GGA) for a relaxed SiHBr crystal.

Cell lengths 5.3158, 5.4949, 5.6734 Å; angles 68.49, 80.68, 68.86 degrees
With the nearest neighbours (Å) after each atom.
Space group P-1 (No. 2)
Symmetry-distinct sites (fractional):
Si  0.1564  0.0577  0.1180 x2  2 H 1.69
H  0.0072  0.1696  0.8394 x2  2 Si 1.69
Br  0.2365  0.6572  0.7289 x2  1 Si 2.37

Summary:
As for the total magnetization: 0.000 Bohr magnetons per cell. The value obtained for the relative energy among the computed polymorphs is 0.01 eV/f.u.

=====

| no. | calculated density (g cm⁻³) |
| --- | --- |
| 1 | 8.711 |
| 2 | 5.807 |
| 3 | 2.519 |